Below is Tb2Sm2Tl7 after structural relaxation, with properties calculated at the GGA-PBE level.

Output
M_tot: 0.00 μB per cell
ΔE_f: 0.053 eV/atom
space group: Cmmm (65)
V: 32.75 Å³/atom
E_tot: -3.153 eV per atom

extended XYZ file:
```
11
Lattice="6.9896 -0.0030 -0.5522 0.0033 7.5093 0.0034 -0.9866 -0.0025 6.9416" Properties=species:S:1:pos:R:3 pbc="T T T"
Tb 4.6220 7.5063 1.6787
Tb 1.3843 -0.0025 4.7141
Sm 4.8820 3.7502 5.1962
Sm 1.1242 3.7536 1.1965
Tl 6.4954 2.1708 2.9221
Tl 2.5131 5.3302 6.6662
Tl -0.4891 5.3330 3.4707
Tl 3.4931 2.1736 -0.2734
Tl 0.0000 0.0000 0.0000
Tl 3.0056 5.3178 3.1954
Tl 3.0006 2.1861 3.1974
```